[1]
The following is a PBE-GGA calculation of a geometry-optimized ScSbOsI2 structure, from Alexandria via LeMat-Bulk.

Results
- DFT total energy: -4.3023 eV per atom
- Fermi-level density of states: 1.084 states/eV per atom
- Size of the total moment: 0.214 μB/atom
- Energy relative to the lowest polymorph listed for this composition: 0 meV per atom

Unit cell a=5.495 b=5.495 c=5.052 alpha=90.00 beta=90.00 gamma=90.00
Space group P4/mmm (No. 123)
Symmetry-distinct sites (fractional):
1 Sc 0.000 0.000 0.000 [1 per cell]
2 Sb 0.500 0.500 0.000 [1 per cell]
3 Os 0.500 0.500 0.500 [1 per cell]
4 I 0.000 0.500 0.500 [2 per cell]


[2]
The following is a PBE-GGA calculation of a geometry-optimized TbHo2O structure, from Alexandria via LeMat-Bulk.

Results
- DFT total energy: -5.5041 eV per atom
- Fermi-level density of states: 1.236 states/eV per atom
- Size of the total moment: 0.000 μB/atom
- Energy relative to the lowest polymorph listed for this composition: 534 meV per atom

Unit cell a=3.182 b=3.182 c=8.667 alpha=90.00 beta=90.00 gamma=90.00
Space group P4/mmm (No. 123)
Symmetry-distinct sites (fractional):
1 Tb 0.000 0.000 0.000 [1 per cell]
2 Ho 0.500 0.500 0.323 [2 per cell]
3 O 0.000 0.000 0.500 [1 per cell]


[3]
The following is a PBE-GGA calculation of a geometry-optimized CuRh3I structure, from Alexandria via LeMat-Bulk.

Results
- DFT total energy: -4.3802 eV per atom
- Fermi-level density of states: 1.313 states/eV per atom
- Size of the total moment: 0.690 μB/atom
- Energy relative to the lowest polymorph listed for this composition: 0 meV per atom

Unit cell a=4.607 b=4.607 c=4.607 alpha=90.00 beta=90.00 gamma=90.00
Space group Pm-3m (No. 221)
Symmetry-distinct sites (fractional):
1 Cu 0.000 0.000 0.000 [1 per cell]
2 Rh 0.000 0.000 0.500 [3 per cell]
3 I 0.500 0.500 0.500 [1 per cell]


These records have energy relative to the elements, uncorrected values of 63.2 -78.9 111.9 kJ/mol of atoms, in the order they appear.